Entry 1:
A plane-wave DFT calculation with GGA-PBE was carried out for Pr2TiGa4Pt3 after structural relaxation.

Summary:
Formation enthalpy at 0 K, eV per formula unit: -8.606
Calculated density, g/cm3: 10.02

Cell lengths 4.2187, 4.2187, 11.1208 Å; angles 90.00, 90.00, 90.00 degrees
Element x y z (fractional)
Pr1 0.0000 0.5000 0.2480
Pr2 0.5000 0.0000 0.7520
Ti1 0.0000 0.0000 0.5000
Ga1 0.0000 0.0000 0.0000
Ga2 0.0000 0.5000 0.6420
Ga3 0.5000 0.0000 0.3580
Ga4 0.5000 0.5000 0.0000
Pt1 0.0000 0.5000 0.8691
Pt2 0.5000 0.0000 0.1309
Pt3 0.5000 0.5000 0.5000

Entry 2:
A plane-wave DFT calculation with GGA-PBE was carried out for CdP2RhS after structural relaxation.

Summary:
Raw formation energy, meV per atom: 412
Calculated density, g/cm3: 4.91

Cell lengths 4.4708, 4.4708, 5.2391 Å; angles 90.00, 90.00, 90.00 degrees
Element x y z (fractional)
Cd1 0.0000 0.0000 0.0000
P1 0.0000 0.5000 0.5000
P2 0.5000 0.0000 0.5000
Rh1 0.5000 0.5000 0.5000
S1 0.5000 0.5000 0.0000

Entry 3:
A plane-wave DFT calculation with GGA-PBE was carried out for NpZn2CdO6 after structural relaxation.

Summary:
Raw formation energy, meV per atom: -1821
Calculated density, g/cm3: 6.27

Cell lengths 7.4842, 7.4842, 6.1110 Å; angles 108.89, 108.89, 79.05 degrees
Element x y z (fractional)
Np1 0.2368 0.7632 0.7500
Np2 0.7632 0.2368 0.2500
Zn1 0.1391 0.2672 0.6430
Zn2 0.2672 0.1391 0.1430
Zn3 0.7328 0.8609 0.8570
Zn4 0.8609 0.7328 0.3570
Cd1 0.4050 0.5950 0.2500
Cd2 0.5950 0.4050 0.7500
O1 0.0551 0.2164 0.2791
O2 0.1457 0.6710 0.3915
O3 0.2164 0.0551 0.7791
O4 0.2916 0.4795 0.8044
O5 0.3290 0.8543 0.1085
O6 0.4795 0.2916 0.3044
O7 0.5205 0.7084 0.6956
O8 0.6710 0.1457 0.8915
O9 0.7084 0.5205 0.1956
O10 0.7836 0.9449 0.2209
O11 0.8543 0.3290 0.6085
O12 0.9449 0.7836 0.7209

Entry 4:
A plane-wave DFT calculation with GGA-PBE was carried out for YCr3Cd after structural relaxation.

Summary:
Formation enthalpy at 0 K, eV per formula unit: 6.316
Calculated density, g/cm3: 4.67

Cell lengths 5.0283, 5.0283, 5.0283 Å; angles 90.00, 90.00, 90.00 degrees
Element x y z (fractional)
Y1 0.0000 0.0000 0.0000
Cr1 0.0000 0.5000 0.5000
Cr2 0.5000 0.0000 0.5000
Cr3 0.5000 0.5000 0.0000
Cd1 0.5000 0.5000 0.5000

Entry 5:
A plane-wave DFT calculation with GGA-PBE was carried out for YZr2Fe after structural relaxation.

Summary:
Formation enthalpy at 0 K, eV per formula unit: 1.213
Calculated density, g/cm3: 6.24

Cell lengths 4.1687, 4.1687, 10.0202 Å; angles 90.00, 90.00, 90.00 degrees
Element x y z (fractional)
Y1 0.0000 0.0000 0.0000
Y2 0.5000 0.5000 0.5000
Zr1 0.0000 0.5000 0.2500
Zr2 0.0000 0.5000 0.7500
Zr3 0.5000 0.0000 0.2500
Zr4 0.5000 0.0000 0.7500
Fe1 0.0000 0.0000 0.5000
Fe2 0.5000 0.5000 0.0000